[1]
# Li7NbO6

A geometry-optimized Li7NbO6 structure (PBE, Alexandria).

Cell lengths 5.6104, 5.6104, 14.7745 Å; angles 90.00, 90.00, 120.00 degrees
Space group R3 (No. 146, hexagonal axes)
Unique sites:
Li 0.0000 0.0000 0.0000 (multiplicity 3)
Li 0.0547 0.3405 0.8724 (multiplicity 9)
Li 0.0608 0.6816 0.1020 (multiplicity 9)
Nb 0.0000 0.0000 0.6527 (multiplicity 3)
O 0.0104 0.7150 0.5723 (multiplicity 9)
O 0.0196 0.3876 0.4016 (multiplicity 9)

Results
* ΔE_f (raw): -2111 meV/atom
* uncorrected energy: -0.435 Ry/atom

***

[2]
# NdClO

A geometry-optimized NdClO structure (PBE, Alexandria).

Cell lengths 4.069, 4.069, 6.847 Å; angles 90.00, 90.00, 90.00 degrees
Space group P4/nmm (No. 129, origin choice 2)
Unique sites:
Nd 0.250 0.250 0.173 (multiplicity 2)
Cl 0.250 0.250 0.627 (multiplicity 2)
O 0.250 0.750 0.000 (multiplicity 2)

Results
* ΔE_f (raw): -3034 meV/atom
* uncorrected energy: -0.507 Ry/atom

***

[3]
# SrAs2Rh4

A geometry-optimized SrAs2Rh4 structure (PBE, Alexandria).

Cell lengths 7.880, 7.880, 3.872 Å; angles 90.00, 90.00, 90.00 degrees
Space group P4_2/mnm (No. 136)
Unique sites:
Sr 0.000 0.000 0.000 (multiplicity 2)
As 0.229 0.229 0.500 (multiplicity 4)
Rh 0.077 0.662 0.500 (multiplicity 8)

Results
* formation energy from the elements: -0.60 eV per atom
* uncorrected energy: -0.468 Ry/atom

***

[4]
# NdDyCd

A geometry-optimized NdDyCd structure (PBE, Alexandria).

Cell lengths 3.683, 3.683, 13.058 Å; angles 90.00, 90.00, 90.00 degrees
Space group I4mm (No. 107)
Unique sites:
Nd 0.000 0.000 0.000 (multiplicity 2)
Dy 0.000 0.000 0.312 (multiplicity 2)
Cd 0.000 0.000 0.664 (multiplicity 2)

Results
* formation energy from the elements: -0.19 eV per atom
* uncorrected energy: -0.266 Ry/atom

***

[5]
# SrTl2Ru

A geometry-optimized SrTl2Ru structure (PBE, Alexandria).

Cell lengths 4.663, 4.663, 9.199 Å; angles 90.00, 90.00, 90.00 degrees
Space group I-4m2 (No. 119)
Unique sites:
Sr 0.000 0.000 0.000 (multiplicity 2)
Tl 0.000 0.000 0.500 (multiplicity 2)
Tl 0.000 0.500 0.750 (multiplicity 2)
Ru 0.000 0.500 0.250 (multiplicity 2)

Results
* formation energy from the elements: 0.39 eV per atom
* uncorrected energy: -0.260 Ry/atom

***

[6]
# Sr2CrW

A geometry-optimized Sr2CrW structure (PBE, Alexandria).

Cell lengths 3.161, 5.067, 6.536 Å; angles 90.00, 90.36, 90.00 degrees
Space group P2/m (No. 10)
Unique sites:
Sr 0.002 0.000 0.243 (multiplicity 2)
Cr 0.500 0.500 0.500 (multiplicity 1)
W 0.500 0.500 0.000 (multiplicity 1)

Results
* formation energy from the elements: 1.35 eV per atom
* uncorrected energy: -0.377 Ry/atom

***

[7]
# La2GaHg2

A geometry-optimized La2GaHg2 structure (PBE, Alexandria).

Cell lengths 11.463, 4.678, 11.640 Å; angles 90.00, 117.19, 90.00 degrees
Space group C2/m (No. 12)
Unique sites:
La 0.016 0.000 0.343 (multiplicity 4)
La 0.187 0.000 0.111 (multiplicity 4)
Ga 0.217 0.500 0.333 (multiplicity 4)
Hg 0.032 0.500 0.884 (multiplicity 4)
Hg 0.151 0.500 0.560 (multiplicity 4)

Results
* formation energy from the elements: -0.51 eV per atom
* uncorrected energy: -0.235 Ry/atom

***

[8]
# Eu2SbPb

A geometry-optimized Eu2SbPb structure (PBE, Alexandria).

Cell lengths 4.1891, 4.1891, 27.5417 Å; angles 90.00, 90.00, 120.00 degrees
Space group R-3m (No. 166, hexagonal axes)
Unique sites:
Eu 0.0000 0.0000 0.2427 (multiplicity 6)
Sb 0.0000 0.0000 0.5000 (multiplicity 3)
Pb 0.0000 0.0000 0.0000 (multiplicity 3)

Results
* ΔE_f (raw): -589 meV/atom
* uncorrected energy: -0.565 Ry/atom

***

[9]
# Ho7ErTm5

A geometry-optimized Ho7ErTm5 structure (PBE, Alexandria).

Cell lengths 6.583, 11.075, 11.348 Å; angles 90.00, 90.00, 90.00 degrees
Space group Imm2 (No. 44)
Unique sites:
Ho 0.000 0.000 0.000 (multiplicity 2)
Ho 0.000 0.000 0.309 (multiplicity 2)
Ho 0.000 0.328 0.057 (multiplicity 4)
Ho 0.000 0.328 0.558 (multiplicity 4)
Ho 0.000 0.500 0.308 (multiplicity 2)
Er 0.000 0.000 0.617 (multiplicity 2)
Tm 0.000 0.500 0.807 (multiplicity 2)
Tm 0.234 0.228 0.808 (multiplicity 8)

Results
* formation energy from the elements: 0.26 eV per atom
* uncorrected energy: -0.314 Ry/atom

***

[10]
# La2CdInPt6

A geometry-optimized La2CdInPt6 structure (PBE, Alexandria).

Cell lengths 9.967, 9.967, 9.967 Å; angles 90.00, 90.00, 90.00 degrees
Space group Fm-3m (No. 225)
Unique sites:
La 0.250 0.250 0.250 (multiplicity 8)
Cd 0.000 0.000 0.000 (multiplicity 4)
In 0.000 0.000 0.500 (multiplicity 4)
Pt 0.000 0.000 0.251 (multiplicity 24)

Results
* formation energy from the elements: -0.01 eV per atom
* uncorrected energy: -0.367 Ry/atom

***

[11]
# TbPrSm4

A geometry-optimized TbPrSm4 structure (PBE, Alexandria).

Cell lengths 11.387, 5.903, 6.070 Å; angles 90.00, 90.08, 90.00 degrees
Space group C2/m (No. 12)
Unique sites:
Tb 0.000 0.000 0.000 (multiplicity 2)
Pr 0.000 0.500 0.500 (multiplicity 2)
Sm 0.175 0.000 0.547 (multiplicity 4)
Sm 0.176 0.500 0.954 (multiplicity 4)

Results
* formation energy from the elements: 0.11 eV per atom
* uncorrected energy: -0.339 Ry/atom

***

[12]
# Ba3InGe2

A geometry-optimized Ba3InGe2 structure (PBE, Alexandria).

Cell lengths 8.785, 10.457, 10.608 Å; angles 90.00, 110.26, 90.00 degrees
Space group P2_1/c (No. 14)
Unique sites:
Ba 0.220 0.057 0.137 (multiplicity 4)
Ba 0.232 0.698 0.321 (multiplicity 4)
Ba 0.234 0.088 0.510 (multiplicity 4)
In 0.409 0.113 0.886 (multiplicity 4)
Ge 0.081 0.111 0.780 (multiplicity 4)
Ge 0.444 0.669 0.120 (multiplicity 4)

Results
* formation energy from the elements: -0.44 eV per atom
* uncorrected energy: -0.249 Ry/atom